Entry from the Alexandria database: crystalline KCrPdF6 at its relaxed geometry (PBE+U).

## Properties
total magnetization = 1.03 Bohr magnetons per cell
total energy = -45.3 eV for the cell shown

Geometry as CIF:
```
data_KCrPdF6
_chemical_formula_sum 'K1 Cr1 Pd1 F6'
_space_group_name_H-M_alt 'P 1'
_space_group_IT_number 1
_space_group_name_Hall 'P 1'
_cell_length_a 5.588
_cell_length_b 5.598
_cell_length_c 5.584
_cell_angle_alpha 90.17
_cell_angle_beta 90.09
_cell_angle_gamma 59.95
loop_
_atom_site_label
_atom_site_type_symbol
_atom_site_fract_x
_atom_site_fract_y
_atom_site_fract_z
_atom_site_occupancy
K1 K 0.000 0.000 0.000 1
Cr1 Cr 0.667 0.667 0.500 1
Pd1 Pd 0.334 0.333 0.500 1
F1 F 0.965 0.383 0.305 1
F2 F 0.384 0.966 0.695 1
F3 F 0.650 0.386 0.695 1
F4 F 0.965 0.651 0.695 1
F5 F 0.384 0.650 0.305 1
F6 F 0.650 0.964 0.305 1
```